(1)
TmThTlHg after structural relaxation. Source: Alexandria via LeMat-Bulk, functional GGA-PBE.

Geometry as POSCAR:
```
TmThTlHg
1.0
7.6001 0.0000 0.0000
0.0000 7.6001 0.0000
0.0000 0.0000 7.6001
Tm Th Tl Hg
4 4 4 4
direct
0.0000 0.0000 0.0000
0.0000 0.5000 0.5000
0.5000 0.0000 0.5000
0.5000 0.5000 0.0000
0.0000 0.0000 0.5000
0.0000 0.5000 0.0000
0.5000 0.0000 0.0000
0.5000 0.5000 0.5000
0.2500 0.2500 0.7500
0.2500 0.7500 0.2500
0.7500 0.2500 0.2500
0.7500 0.7500 0.7500
0.2500 0.2500 0.2500
0.2500 0.7500 0.7500
0.7500 0.2500 0.7500
0.7500 0.7500 0.2500
```

## Properties
The total magnetization comes out at 0.00 μB/f.u. The total energy comes out at -3.8808 eV per atom.

=====

(2)
KErPdCl6 after structural relaxation. Source: Alexandria via LeMat-Bulk, functional GGA-PBE.

Geometry as POSCAR:
```
KErPdCl6
1.0
6.6879 0.0000 0.0000
-3.3439 5.7919 0.0000
0.0000 0.0000 7.0848
K Er Pd Cl
1 1 1 6
direct
0.0000 0.0000 0.0000
0.6667 0.3333 0.5000
0.3333 0.6667 0.5000
0.0082 0.3706 0.7099
0.0082 0.6376 0.2901
0.3624 0.3706 0.2901
0.3624 0.9918 0.7099
0.6294 0.6376 0.7099
0.6294 0.9918 0.2901
```

## Properties
Its uncorrected formation energy is -1361 kJ/mol of formula units. The total magnetization comes out at 2.00 μB/f.u.

=====

(3)
CdH6Ir2Pt after structural relaxation. Source: Alexandria via LeMat-Bulk, functional GGA-PBE.

Geometry as POSCAR:
```
CdH6Ir2Pt
1.0
4.9356 -4.5858 0.0000
4.9356 4.5858 0.0000
-2.2148 0.0000 4.1378
Cd H Ir Pt
2 12 4 2
direct
0.2464 0.7536 0.7500
0.7536 0.2464 0.2500
0.9996 0.4941 0.2415
0.0004 0.5059 0.7585
0.0841 0.1365 0.5448
0.1365 0.0841 0.0448
0.3123 0.3267 0.0382
0.3267 0.3123 0.5382
0.4941 0.9996 0.7415
0.5059 0.0004 0.2585
0.6733 0.6877 0.4618
0.6877 0.6733 0.9618
0.8635 0.9159 0.9552
0.9159 0.8635 0.4552
0.0417 0.2908 0.9047
0.2908 0.0417 0.4047
0.7092 0.9583 0.5953
0.9583 0.7092 0.0953
0.4153 0.5847 0.2500
0.5847 0.4153 0.7500
```

## Properties
The total magnetization comes out at 0.00 μB/f.u. The total energy comes out at -4.3651 eV per atom.

=====

(4)
SrScFe2 after structural relaxation. Source: Alexandria via LeMat-Bulk, functional GGA-PBE.

Geometry as POSCAR:
```
SrScFe2
1.0
3.7014 0.0000 0.0000
0.0000 4.1359 0.0000
0.0000 0.0000 11.9644
Sr Sc Fe
2 2 4
direct
0.0000 0.0000 0.0000
0.0000 0.5000 0.5000
0.5000 0.0000 0.7331
0.5000 0.5000 0.2331
0.0000 0.0000 0.2661
0.0000 0.5000 0.7661
0.5000 0.0000 0.3746
0.5000 0.5000 0.8746
```

## Properties
The total magnetization comes out at 3.54 μB/f.u. The total energy comes out at -5.9467 eV per atom.